(1)
Here is a relaxed ZrScTc2 crystal from Alexandria. Energies are from PBE.

```
ZrScTc2
1.0
-3.620 3.620 2.817
3.620 -3.620 2.817
3.620 3.620 -2.817
Zr Sc Tc
2 2 4
direct
0.000 0.000 0.000
0.750 0.250 0.500
0.250 0.750 0.500
0.500 0.500 0.000
0.125 0.625 0.000
0.375 0.375 0.500
0.625 0.125 0.000
0.875 0.875 0.500
```

The electronic total energy is -8.515 eV/atom. The formation energy is 1.55 eV per formula unit.

***

(2)
Here is a relaxed Zr2Sc4Tc crystal from Alexandria. Energies are from PBE.

```
Zr2Sc4Tc
1.0
3.319 0.000 0.000
-1.658 5.793 0.000
-0.010 -1.924 8.083
Zr Sc Tc
2 4 1
direct
0.134 0.266 0.465
0.866 0.734 0.535
0.316 0.631 0.847
0.435 0.870 0.225
0.565 0.130 0.775
0.684 0.369 0.153
0.000 0.000 0.000
```

The electronic total energy is -7.638 eV/atom. The formation energy is -0.68 eV per formula unit.

***

(3)
Here is a relaxed Zr2ScTc crystal from Alexandria. Energies are from PBE.

```
Zr2ScTc
1.0
1.624 0.937 9.344
-1.624 0.937 9.344
0.000 -1.875 9.344
Zr Sc Tc
2 1 1
direct
0.238 0.238 0.238
0.762 0.762 0.762
0.000 0.000 0.000
0.500 0.500 0.500
```

The electronic total energy is -8.415 eV/atom. The energy above the lowest structure with this stoichiometry is 238 meV per atom. The formation energy is 0.13 eV per formula unit.

***

(4)
Here is a relaxed ZrScTc2 crystal from Alexandria. Energies are from PBE.

```
ZrScTc2
1.0
-1.620 2.261 4.823
1.620 -2.261 4.823
1.620 2.261 -4.823
Zr Sc Tc
1 1 2
direct
0.000 0.000 0.000
0.272 0.772 0.500
0.528 0.528 0.000
0.749 0.249 0.500
```

The electronic total energy is -9.175 eV/atom. The formation energy is -1.09 eV per formula unit.